Entry 1:
# Ce2Ti2O7 GGA-PBE relaxed
# formation energy without anion corrections = -2.989 eV/atom
# crystal system = orthorhombic
# M_tot = 2.1 μB per formula unit
data_Ce2Ti2O7
_space_group_name_H-M_alt 'C m m m'
_space_group_IT_number 65
_space_group_name_Hall '-C 2 2'
_cell_length_a 6.9722
_cell_length_b 7.5010
_cell_length_c 5.1615
_cell_angle_alpha 90.00
_cell_angle_beta 90.00
_cell_angle_gamma 90.00
loop_
_atom_site_label
_atom_site_fract_x
_atom_site_fract_y
_atom_site_fract_z
Ce1 0.2434 0.0000 0.0000
Ti1 0.0000 0.2711 0.5000
O1 0.0000 0.0000 0.5000
O2 0.0000 0.5000 0.2682
O3 0.2500 0.2500 0.2621

Entry 2:
# ZrSi2Pd2 GGA-PBE relaxed
# formation energy without anion corrections = -0.542 eV/atom
# crystal system = tetragonal
# M_tot = 0.0 μB per formula unit
data_ZrSi2Pd2
_space_group_name_H-M_alt 'P 4/m b m'
_space_group_IT_number 127
_space_group_name_Hall '-P 4 2ab'
_cell_length_a 7.3626
_cell_length_b 7.3626
_cell_length_c 2.8924
_cell_angle_alpha 90.00
_cell_angle_beta 90.00
_cell_angle_gamma 90.00
loop_
_atom_site_label
_atom_site_fract_x
_atom_site_fract_y
_atom_site_fract_z
Zr1 0.0000 0.0000 0.0000
Si1 0.1491 0.3509 0.0000
Pd1 0.1450 0.6450 0.5000

Entry 3:
# RbInGe GGA-PBE relaxed
# ΔH_f (0 K) = 126.8 kJ/mol of formula units
# crystal system = hexagonal
# M_tot = 0.0 μB per formula unit
data_RbInGe
_space_group_name_H-M_alt 'P 63/m m c'
_space_group_IT_number 194
_space_group_name_Hall '-P 6c 2c'
_cell_length_a 6.5164
_cell_length_b 6.5164
_cell_length_c 10.2654
_cell_angle_alpha 90.00
_cell_angle_beta 90.00
_cell_angle_gamma 120.00
loop_
_atom_site_label
_atom_site_fract_x
_atom_site_fract_y
_atom_site_fract_z
Rb1 0.3333 0.6667 0.2500
In1 0.0000 0.0000 0.2500
Ge1 0.0000 0.0000 0.0000

Entry 4:
# SrBeP2S GGA-PBE relaxed
# formation energy without anion corrections = 1.513 eV/atom
# crystal system = tetragonal
# M_tot = 1.3 μB per formula unit
# energy above the lowest structure with this stoichiometry = 40.68 kcal/mol of atoms
data_SrBeP2S
_space_group_name_H-M_alt 'P 4/m m m'
_space_group_IT_number 123
_space_group_name_Hall '-P 4 2'
_cell_length_a 5.5911
_cell_length_b 5.5911
_cell_length_c 5.3999
_cell_angle_alpha 90.00
_cell_angle_beta 90.00
_cell_angle_gamma 90.00
loop_
_atom_site_label
_atom_site_fract_x
_atom_site_fract_y
_atom_site_fract_z
Sr1 0.0000 0.0000 0.0000
Be1 0.5000 0.5000 0.5000
P1 0.0000 0.5000 0.0000
S1 0.0000 0.0000 0.5000

Entry 5:
# Co2Si2Ag GGA-PBE relaxed
# formation energy without anion corrections = -0.306 eV/atom
# crystal system = tetragonal
# M_tot = 0.0 μB per formula unit
# energy above the lowest structure with this stoichiometry = 0.00 kcal/mol of atoms
data_Co2Si2Ag
_space_group_name_H-M_alt 'P 4/m b m'
_space_group_IT_number 127
_space_group_name_Hall '-P 4 2ab'
_cell_length_a 6.8186
_cell_length_b 6.8186
_cell_length_c 2.6464
_cell_angle_alpha 90.00
_cell_angle_beta 90.00
_cell_angle_gamma 90.00
loop_
_atom_site_label
_atom_site_fract_x
_atom_site_fract_y
_atom_site_fract_z
Co1 0.1450 0.3550 0.0000
Si1 0.1447 0.6447 0.5000
Ag1 0.0000 0.0000 0.5000

Entry 6:
# MgMoPb GGA-PBE relaxed
# ΔH_f (0 K) = 157.3 kJ/mol of formula units
# crystal system = trigonal
# M_tot = 0.0 μB per formula unit
# energy above the lowest structure with this stoichiometry = 0.81 kcal/mol of atoms
data_MgMoPb
_space_group_name_H-M_alt 'P 3 m 1'
_space_group_IT_number 156
_cell_length_a 3.1481
_cell_length_b 3.1481
_cell_length_c 7.3760
_cell_angle_alpha 90.00
_cell_angle_beta 90.00
_cell_angle_gamma 120.00
loop_
_space_group_symop_operation_xyz
'x,y,z'
'-y,x-y,z'
'-x+y,-x,z'
'-y,-x,z'
'-x+y,y,z'
'x,x-y,z'
loop_
_atom_site_label
_atom_site_fract_x
_atom_site_fract_y
_atom_site_fract_z
Mg1 0.0000 0.0000 0.0000
Mo1 0.6667 0.3333 0.2995
Pb1 0.3333 0.6667 0.6259

Entry 7:
# PmThIrPt GGA-PBE relaxed
# ΔH_f (0 K) = -333.9 kJ/mol of formula units
# crystal system = cubic
# M_tot = 0.0 μB per formula unit
# energy above the lowest structure with this stoichiometry = 4.68 kcal/mol of atoms
data_PmThIrPt
_space_group_name_H-M_alt 'F -4 3 m'
_space_group_IT_number 216
_space_group_name_Hall 'F -4 2 3'
_cell_length_a 7.1571
_cell_length_b 7.1571
_cell_length_c 7.1571
_cell_angle_alpha 90.00
_cell_angle_beta 90.00
_cell_angle_gamma 90.00
loop_
_atom_site_label
_atom_site_fract_x
_atom_site_fract_y
_atom_site_fract_z
Pm1 0.0000 0.0000 0.0000
Th1 0.0000 0.0000 0.5000
Ir1 0.2500 0.2500 0.7500
Pt1 0.2500 0.2500 0.2500

Entry 8:
# Tb3Mg5Ir2 GGA-PBE relaxed
# ΔH_f (0 K) = -246.6 kJ/mol of formula units
# crystal system = orthorhombic
# M_tot = 0.0 μB per formula unit
data_Tb3Mg5Ir2
_space_group_name_H-M_alt 'I b a m'
_space_group_IT_number 72
_space_group_name_Hall '-I 2 2c'
_cell_length_a 12.1159
_cell_length_b 12.8102
_cell_length_c 6.1380
_cell_angle_alpha 90.00
_cell_angle_beta 90.00
_cell_angle_gamma 90.00
loop_
_atom_site_label
_atom_site_fract_x
_atom_site_fract_y
_atom_site_fract_z
Tb1 0.0000 0.0000 0.2500
Tb2 0.2410 0.1690 0.0000
Mg1 0.0000 0.2686 0.2500
Mg2 0.0000 0.5000 0.2500
Mg3 0.1803 0.4246 0.0000
Ir1 0.1283 0.1517 0.5000

Entry 9:
# CeCdCoPd GGA-PBE relaxed
# ΔH_f (0 K) = -92.7 kJ/mol of formula units
# crystal system = cubic
# M_tot = 0.2 μB per formula unit
data_CeCdCoPd
_space_group_name_H-M_alt 'F -4 3 m'
_space_group_IT_number 216
_space_group_name_Hall 'F -4 2 3'
_cell_length_a 6.7084
_cell_length_b 6.7084
_cell_length_c 6.7084
_cell_angle_alpha 90.00
_cell_angle_beta 90.00
_cell_angle_gamma 90.00
loop_
_atom_site_label
_atom_site_fract_x
_atom_site_fract_y
_atom_site_fract_z
Ce1 0.0000 0.0000 0.0000
Cd1 0.0000 0.0000 0.5000
Co1 0.2500 0.2500 0.7500
Pd1 0.2500 0.2500 0.2500

Entry 10:
# Ta2Al2S7 GGA-PBE relaxed
# formation energy without anion corrections = -0.771 eV/atom
# crystal system = monoclinic
# M_tot = 0.0 μB per formula unit
data_Ta2Al2S7
_space_group_name_H-M_alt 'C 1 2/m 1'
_space_group_IT_number 12
_cell_length_a 7.6215
_cell_length_b 10.0069
_cell_length_c 6.6205
_cell_angle_alpha 90.00
_cell_angle_beta 102.03
_cell_angle_gamma 90.00
loop_
_space_group_symop_operation_xyz
'x,y,z'
'-x,-y,-z'
'-x,y,-z'
'x,-y,z'
'x+1/2,y+1/2,z'
'-x+1/2,-y+1/2,-z'
'-x+1/2,y+1/2,-z'
'x+1/2,-y+1/2,z'
loop_
_atom_site_label
_atom_site_fract_x
_atom_site_fract_y
_atom_site_fract_z
Ta1 0.0000 0.1516 0.0000
Al1 0.2358 0.5000 0.3713
S1 0.0000 0.5000 0.5000
S2 0.0964 0.0000 0.2770
S3 0.2448 0.1915 0.8025

Entry 11:
# Tl2AuO GGA-PBE relaxed
# formation energy without anion corrections = -0.237 eV/atom
# crystal system = trigonal
# M_tot = 0.0 μB per formula unit
# energy above the lowest structure with this stoichiometry = 0.01 kcal/mol of atoms
data_Tl2AuO
_space_group_name_H-M_alt 'R -3 m'
_space_group_IT_number 166
_space_group_name_Hall '-R 3 2"'
_cell_length_a 3.7265
_cell_length_b 3.7265
_cell_length_c 21.1314
_cell_angle_alpha 90.00
_cell_angle_beta 90.00
_cell_angle_gamma 120.00
loop_
_atom_site_label
_atom_site_fract_x
_atom_site_fract_y
_atom_site_fract_z
Tl1 0.0000 0.0000 0.2355
Au1 0.0000 0.0000 0.0000
O1 0.0000 0.0000 0.5000

Entry 12:
# CuSi4 GGA-PBE relaxed
# formation energy without anion corrections = 0.487 eV/atom
# crystal system = cubic
# M_tot = 0.0 μB per formula unit
# energy above the lowest structure with this stoichiometry = 5.32 kcal/mol of atoms
data_CuSi4
_space_group_name_H-M_alt 'I m -3 m'
_space_group_IT_number 229
_space_group_name_Hall '-I 4 2 3'
_cell_length_a 5.4669
_cell_length_b 5.4669
_cell_length_c 5.4669
_cell_angle_alpha 90.00
_cell_angle_beta 90.00
_cell_angle_gamma 90.00
loop_
_atom_site_label
_atom_site_fract_x
_atom_site_fract_y
_atom_site_fract_z
Cu1 0.0000 0.0000 0.0000
Si1 0.2500 0.2500 0.2500

Entry 13:
# ReAg3Pt GGA-PBE relaxed
# ΔH_f (0 K) = 848.5 kJ/mol of formula units
# crystal system = cubic
# M_tot = 4.6 μB per formula unit
# energy above the lowest structure with this stoichiometry = 0.00 kcal/mol of atoms
data_ReAg3Pt
_space_group_name_H-M_alt 'P m -3 m'
_space_group_IT_number 221
_space_group_name_Hall '-P 4 2 3'
_cell_length_a 5.0448
_cell_length_b 5.0448
_cell_length_c 5.0448
_cell_angle_alpha 90.00
_cell_angle_beta 90.00
_cell_angle_gamma 90.00
loop_
_atom_site_label
_atom_site_fract_x
_atom_site_fract_y
_atom_site_fract_z
Re1 0.0000 0.0000 0.0000
Ag1 0.0000 0.5000 0.5000
Pt1 0.5000 0.5000 0.5000

Entry 14:
# SrLiTb2 GGA-PBE relaxed
# ΔH_f (0 K) = 137.3 kJ/mol of formula units
# crystal system = trigonal
# M_tot = 0.0 μB per formula unit
data_SrLiTb2
_space_group_name_H-M_alt 'R -3 m'
_space_group_IT_number 166
_space_group_name_Hall '-R 3 2"'
_cell_length_a 3.5480
_cell_length_b 3.5480
_cell_length_c 36.9434
_cell_angle_alpha 90.00
_cell_angle_beta 90.00
_cell_angle_gamma 120.00
loop_
_atom_site_label
_atom_site_fract_x
_atom_site_fract_y
_atom_site_fract_z
Sr1 0.0000 0.0000 0.0000
Li1 0.0000 0.0000 0.5000
Tb1 0.0000 0.0000 0.0955

Entry 15:
# LiCaTl3Pb GGA-PBE relaxed
# ΔH_f (0 K) = -113.4 kJ/mol of formula units
# crystal system = orthorhombic
# M_tot = 0.0 μB per formula unit
data_LiCaTl3Pb
_space_group_name_H-M_alt 'C m c m'
_space_group_IT_number 63
_space_group_name_Hall '-C 2c 2'
_cell_length_a 4.6958
_cell_length_b 14.5768
_cell_length_c 9.8692
_cell_angle_alpha 90.00
_cell_angle_beta 90.00
_cell_angle_gamma 90.00
loop_
_atom_site_label
_atom_site_fract_x
_atom_site_fract_y
_atom_site_fract_z
Li1 0.0000 0.0000 0.0000
Ca1 0.0000 0.1821 0.2500
Tl1 0.0000 0.1465 0.7500
Tl2 0.0000 0.3416 0.0037
Pb1 0.0000 0.4900 0.7500

Entry 16:
# NaPa2I8 GGA-PBE relaxed
# formation energy without anion corrections = -0.812 eV/atom
# crystal system = trigonal
# M_tot = 3.0 μB per formula unit
# energy above the lowest structure with this stoichiometry = 1.91 kcal/mol of atoms
data_NaPa2I8
_space_group_name_H-M_alt 'P -3'
_space_group_IT_number 147
_cell_length_a 10.2493
_cell_length_b 10.2493
_cell_length_c 6.2476
_cell_angle_alpha 90.00
_cell_angle_beta 90.00
_cell_angle_gamma 120.00
loop_
_space_group_symop_operation_xyz
'x,y,z'
'-x,-y,-z'
'-y,x-y,z'
'y,-x+y,-z'
'-x+y,-x,z'
'x-y,x,-z'
loop_
_atom_site_label
_atom_site_fract_x
_atom_site_fract_y
_atom_site_fract_z
Na1 0.0000 0.0000 0.0000
Pa1 0.3333 0.6667 0.2412
I1 0.1655 0.3329 0.2517
I2 0.3333 0.6667 0.7441

Entry 17:
# K3Cl2F GGA-PBE relaxed
# formation energy without anion corrections = -2.173 eV/atom
# crystal system = orthorhombic
# M_tot = 0.0 μB per formula unit
# energy above the lowest structure with this stoichiometry = 0.00 kcal/mol of atoms
data_K3Cl2F
_space_group_name_H-M_alt 'I m m m'
_space_group_IT_number 71
_space_group_name_Hall '-I 2 2'
_cell_length_a 4.1878
_cell_length_b 6.1887
_cell_length_c 13.0172
_cell_angle_alpha 90.00
_cell_angle_beta 90.00
_cell_angle_gamma 90.00
loop_
_atom_site_label
_atom_site_fract_x
_atom_site_fract_y
_atom_site_fract_z
K1 0.0000 0.0000 0.0000
K2 0.0000 0.0000 0.3570
Cl1 0.0000 0.5000 0.3287
F1 0.0000 0.5000 0.0000

Entry 18:
# KPm2Tl9 GGA-PBE relaxed
# ΔH_f (0 K) = -220.4 kJ/mol of formula units
# crystal system = tetragonal
# M_tot = 0.0 μB per formula unit
data_KPm2Tl9
_space_group_name_H-M_alt 'P 4/m m m'
_space_group_IT_number 123
_space_group_name_Hall '-P 4 2'
_cell_length_a 4.8764
_cell_length_b 4.8764
_cell_length_c 14.7671
_cell_angle_alpha 90.00
_cell_angle_beta 90.00
_cell_angle_gamma 90.00
loop_
_atom_site_label
_atom_site_fract_x
_atom_site_fract_y
_atom_site_fract_z
K1 0.0000 0.0000 0.0000
Pm1 0.0000 0.0000 0.3431
Tl1 0.0000 0.5000 0.1765
Tl2 0.0000 0.5000 0.5000
Tl3 0.5000 0.5000 0.0000
Tl4 0.5000 0.5000 0.3351

Entry 19:
# NpTe2Au GGA-PBE relaxed
# formation energy without anion corrections = -0.310 eV/atom
# crystal system = trigonal
# M_tot = 4.0 μB per formula unit
data_NpTe2Au
_space_group_name_H-M_alt 'R -3 m'
_space_group_IT_number 166
_space_group_name_Hall '-R 3 2"'
_cell_length_a 4.6143
_cell_length_b 4.6143
_cell_length_c 25.3535
_cell_angle_alpha 90.00
_cell_angle_beta 90.00
_cell_angle_gamma 120.00
loop_
_atom_site_label
_atom_site_fract_x
_atom_site_fract_y
_atom_site_fract_z
Np1 0.0000 0.0000 0.0000
Te1 0.0000 0.0000 0.3977
Au1 0.0000 0.0000 0.5000

Entry 20:
# Mg5Zn2Cd12 GGA-PBE relaxed
# ΔH_f (0 K) = -33.6 kJ/mol of formula units
# crystal system = monoclinic
# M_tot = 0.0 μB per formula unit
data_Mg5Zn2Cd12
_space_group_name_H-M_alt 'C 1 2/m 1'
_space_group_IT_number 12
_cell_length_a 12.8752
_cell_length_b 8.9731
_cell_length_c 7.2037
_cell_angle_alpha 90.00
_cell_angle_beta 91.55
_cell_angle_gamma 90.00
loop_
_space_group_symop_operation_xyz
'x,y,z'
'-x,-y,-z'
'-x,y,-z'
'x,-y,z'
'x+1/2,y+1/2,z'
'-x+1/2,-y+1/2,-z'
'-x+1/2,y+1/2,-z'
'x+1/2,-y+1/2,z'
loop_
_atom_site_label
_atom_site_fract_x
_atom_site_fract_y
_atom_site_fract_z
Mg1 0.0000 0.0000 0.0000
Mg2 0.1775 0.5000 0.4601
Mg3 0.2414 0.0000 0.0615
Zn1 0.0000 0.2927 0.5000
Cd1 0.0460 0.5000 0.7996
Cd2 0.0983 0.0000 0.3957
Cd3 0.1187 0.2746 0.1507
Cd4 0.1536 0.1883 0.7423

Entry 21:
# KSiSb2 GGA-PBE relaxed
# formation energy without anion corrections = 0.134 eV/atom
# crystal system = tetragonal
# M_tot = 0.0 μB per formula unit
data_KSiSb2
_space_group_name_H-M_alt 'P 4/m m m'
_space_group_IT_number 123
_space_group_name_Hall '-P 4 2'
_cell_length_a 3.9644
_cell_length_b 3.9644
_cell_length_c 7.3340
_cell_angle_alpha 90.00
_cell_angle_beta 90.00
_cell_angle_gamma 90.00
loop_
_atom_site_label
_atom_site_fract_x
_atom_site_fract_y
_atom_site_fract_z
K1 0.0000 0.0000 0.0000
Si1 0.0000 0.0000 0.5000
Sb1 0.5000 0.5000 0.3125

Entry 22:
# Fe3TcIr6 GGA-PBE relaxed
# ΔH_f (0 K) = -75.1 kJ/mol of formula units
# crystal system = monoclinic
# M_tot = 7.7 μB per formula unit
data_Fe3TcIr6
_space_group_name_H-M_alt 'P 1 21/m 1'
_space_group_IT_number 11
_cell_length_a 8.4308
_cell_length_b 3.8305
_cell_length_c 8.5477
_cell_angle_alpha 90.00
_cell_angle_beta 91.03
_cell_angle_gamma 90.00
loop_
_space_group_symop_operation_xyz
'x,y,z'
'-x,-y,-z'
'-x,y+1/2,-z'
'x,-y+1/2,z'
loop_
_atom_site_label
_atom_site_fract_x
_atom_site_fract_y
_atom_site_fract_z
Fe1 0.0510 0.2500 0.3972
Fe2 0.1485 0.7500 0.1974
Fe3 0.2462 0.2500 0.9983
Tc1 0.4486 0.2500 0.5994
Ir1 0.0469 0.7500 0.9001
Ir2 0.1437 0.2500 0.6966
Ir3 0.2471 0.7500 0.4971
Ir4 0.3471 0.2500 0.2978
Ir5 0.3475 0.7500 0.7990
Ir6 0.4451 0.7500 0.0988

Entry 23:
# BeAgMo2 GGA-PBE relaxed
# ΔH_f (0 K) = 301.0 kJ/mol of formula units
# crystal system = tetragonal
# M_tot = 0.0 μB per formula unit
data_BeAgMo2
_space_group_name_H-M_alt 'I -4 2 d'
_space_group_IT_number 122
_space_group_name_Hall 'I -4 2bw'
_cell_length_a 3.6045
_cell_length_b 3.6045
_cell_length_c 19.5784
_cell_angle_alpha 90.00
_cell_angle_beta 90.00
_cell_angle_gamma 90.00
loop_
_atom_site_label
_atom_site_fract_x
_atom_site_fract_y
_atom_site_fract_z
Be1 0.0000 0.0000 0.0000
Ag1 0.0000 0.0000 0.5000
Mo1 0.2326 0.2500 0.1250

Entry 24:
# Ba8Ag2Rh GGA-PBE relaxed
# ΔH_f (0 K) = -85.4 kJ/mol of formula units
# crystal system = monoclinic
# M_tot = 0.0 μB per formula unit
# energy above the lowest structure with this stoichiometry = 1.44 kcal/mol of atoms
data_Ba8Ag2Rh
_space_group_name_H-M_alt 'C 1 2/m 1'
_space_group_IT_number 12
_cell_length_a 21.5248
_cell_length_b 5.9232
_cell_length_c 7.8254
_cell_angle_alpha 90.00
_cell_angle_beta 104.58
_cell_angle_gamma 90.00
loop_
_space_group_symop_operation_xyz
'x,y,z'
'-x,-y,-z'
'-x,y,-z'
'x,-y,z'
'x+1/2,y+1/2,z'
'-x+1/2,-y+1/2,-z'
'-x+1/2,y+1/2,-z'
'x+1/2,-y+1/2,z'
loop_
_atom_site_label
_atom_site_fract_x
_atom_site_fract_y
_atom_site_fract_z
Ba1 0.0370 0.0000 0.3126
Ba2 0.0835 0.5000 0.8919
Ba3 0.1558 0.5000 0.4566
Ba4 0.2123 0.0000 0.8239
Ag1 0.1933 0.0000 0.2410
Rh1 0.0000 0.5000 0.5000